Computed, not measured: a relaxed V2SnRh2 crystal at the PBE level of DFT.

## Properties
raw total energy = -7.45 eV/atom
E_form = -0.32 eV per formula unit
space group = I4/mmm

a = 3.9050 Å, b = 3.9050 Å, c = 6.2302 Å
α = 71.74°, β = 71.74°, γ = 90.00°
Fractional coordinates of all 5 atoms:
Rh (0.6148, 0.6148, 0.7704)
Rh (0.3852, 0.3852, 0.2296)
V (0.2500, 0.7500, 0.5000)
V (0.7500, 0.2500, 0.5000)
Sn (0.0000, 0.0000, 0.0000)